TlZnF3 after structural relaxation. Source: Alexandria via LeMat-Bulk, functional PBE-GGA.

a b c (Å): 5.9693 4.0544 6.3707
angles (deg): 90.00 90.43 90.00
With the nearest neighbours (Å) after each atom.
Space group P2/c (No. 13)
Asymmetric unit:
1 Tl 0.0000 0.0950 0.2500 [2 per cell]  6 F 2.77-3.00
2 Zn 0.5000 0.4776 0.7500 [2 per cell]  6 F 2.00-2.12
3 F 0.2655 0.4991 0.9983 [4 per cell]  2 Zn 2.12
4 F 0.5000 0.0168 0.2500 [2 per cell]  2 Zn 2.00-2.05

Values from the calculation:
Electronic total energy in eV per atom: -3.92
E_form (uncorrected) in eV/atom: -2.067
Density of states at the Fermi level in states/eV/atom: 0.000